Entry 1:
Compound: PmErSc2
Source: Alexandria
Functional: PBE-GGA
Structure: optimized geometry

**M_tot**: 0.000 Bohr magnetons per cell
**Formation enthalpy at 0 K**: 0.06 eV per atom
**ΔE to the lowest computed polymorph**: 0.93 kJ per mole of atoms

Lattice parameters (Å, degrees): 3.438 3.438 32.945 90.00 90.00 120.00
Sites, in units of the cell vectors:
Pm: 0.000 0.000 0.000
Pm: 0.333 0.667 0.667
Pm: 0.667 0.333 0.333
Er: 0.000 0.000 0.500
Er: 0.333 0.667 0.167
Er: 0.667 0.333 0.833
Sc: 0.000 0.000 0.249
Sc: 0.000 0.000 0.751
Sc: 0.333 0.667 0.418
Sc: 0.333 0.667 0.916
Sc: 0.667 0.333 0.084
Sc: 0.667 0.333 0.582



Entry 2:
Compound: Pm3Er8Sc2
Source: Alexandria
Functional: PBE-GGA
Structure: optimized geometry

**M_tot**: 0.000 Bohr magnetons per cell
**Formation enthalpy at 0 K**: 0.25 eV per atom

Lattice parameters (Å, degrees): 8.550 8.550 6.754 106.20 106.20 63.81
Sites, in units of the cell vectors:
Pm: 0.000 0.000 0.000
Pm: 0.174 0.826 0.500
Pm: 0.826 0.174 0.500
Er: 0.193 0.193 0.899
Er: 0.198 0.559 0.810
Er: 0.410 0.410 0.272
Er: 0.441 0.802 0.190
Er: 0.559 0.198 0.810
Er: 0.590 0.590 0.728
Er: 0.802 0.441 0.190
Er: 0.807 0.807 0.101
Sc: 0.208 0.208 0.424
Sc: 0.792 0.792 0.576



Entry 3:
Compound: PmErSc6
Source: Alexandria
Functional: PBE-GGA
Structure: optimized geometry

**M_tot**: 1.939 Bohr magnetons per cell
**Formation enthalpy at 0 K**: 0.03 eV per atom

Lattice parameters (Å, degrees): 6.790 6.790 5.313 90.00 90.00 120.00
Sites, in units of the cell vectors:
Pm: 0.000 0.000 0.000
Er: 0.333 0.667 0.500
Sc: 0.342 0.171 0.500
Sc: 0.504 0.007 0.000
Sc: 0.504 0.496 0.000
Sc: 0.829 0.171 0.500
Sc: 0.829 0.658 0.500
Sc: 0.993 0.496 0.000



Entry 4:
Compound: Pm4Er3Sc
Source: Alexandria
Functional: PBE-GGA
Structure: optimized geometry

**M_tot**: 0.001 Bohr magnetons per cell
**Formation enthalpy at 0 K**: 0.04 eV per atom
**ΔE to the lowest computed polymorph**: 0.00 kJ per mole of atoms

Lattice parameters (Å, degrees): 11.347 7.234 6.227 90.00 90.00 90.00
Sites, in units of the cell vectors:
Pm: 0.000 0.129 0.000
Pm: 0.000 0.869 0.519
Pm: 0.242 0.131 0.350
Pm: 0.258 0.869 0.850
Pm: 0.500 0.131 0.019
Pm: 0.500 0.871 0.500
Pm: 0.742 0.869 0.850
Pm: 0.758 0.131 0.350
Er: 0.000 0.621 0.014
Er: 0.250 0.381 0.843
Er: 0.250 0.619 0.343
Er: 0.500 0.379 0.514
Er: 0.750 0.381 0.843
Er: 0.750 0.619 0.343
Sc: 0.000 0.384 0.510
Sc: 0.500 0.616 0.010



Entry 5:
Compound: PmEr12Sc6
Source: Alexandria
Functional: PBE-GGA
Structure: optimized geometry

**M_tot**: 0.000 Bohr magnetons per cell
**Formation enthalpy at 0 K**: 0.25 eV per atom
**ΔE to the lowest computed polymorph**: 0.00 kJ per mole of atoms

Lattice parameters (Å, degrees): 8.988 8.988 8.988 109.47 109.47 109.47
Sites, in units of the cell vectors:
Pm: 0.000 0.000 0.000
Er: 0.070 0.266 0.804
Er: 0.196 0.463 0.266
Er: 0.196 0.930 0.734
Er: 0.266 0.196 0.463
Er: 0.266 0.804 0.070
Er: 0.463 0.266 0.196
Er: 0.537 0.734 0.804
Er: 0.734 0.196 0.930
Er: 0.734 0.804 0.537
Er: 0.804 0.070 0.266
Er: 0.804 0.537 0.734
Er: 0.930 0.734 0.196
Sc: 0.138 0.500 0.638
Sc: 0.362 0.862 0.500
Sc: 0.500 0.362 0.862
Sc: 0.500 0.638 0.138
Sc: 0.638 0.138 0.500
Sc: 0.862 0.500 0.362



Entry 6:
Compound: Pm2Er5Sc
Source: Alexandria
Functional: PBE-GGA
Structure: optimized geometry

**M_tot**: 0.003 Bohr magnetons per cell
**Formation enthalpy at 0 K**: 0.07 eV per atom
**ΔE to the lowest computed polymorph**: 3.57 kJ per mole of atoms

Lattice parameters (Å, degrees): 9.740 9.740 9.205 104.04 104.04 35.92
Sites, in units of the cell vectors:
Pm: 0.051 0.706 0.876
Pm: 0.294 0.949 0.624
Pm: 0.706 0.051 0.376
Pm: 0.949 0.294 0.124
Er: 0.106 0.514 0.188
Er: 0.175 0.825 0.250
Er: 0.267 0.601 0.561
Er: 0.399 0.733 0.939
Er: 0.486 0.894 0.312
Er: 0.514 0.106 0.688
Er: 0.601 0.267 0.061
Er: 0.733 0.399 0.439
Er: 0.825 0.175 0.750
Er: 0.894 0.486 0.812
Sc: 0.000 0.500 0.500
Sc: 0.500 0.000 0.000



Entry 7:
Compound: Pm5Er3Sc
Source: Alexandria
Functional: PBE-GGA
Structure: optimized geometry

**M_tot**: 0.000 Bohr magnetons per cell
**Formation enthalpy at 0 K**: 0.32 eV per atom

Lattice parameters (Å, degrees): 9.540 9.540 9.540 121.69 121.69 87.09
Sites, in units of the cell vectors:
Pm: 0.000 0.000 0.000
Pm: 0.063 0.563 0.893
Pm: 0.170 0.063 0.500
Pm: 0.330 0.830 0.893
Pm: 0.437 0.330 0.500
Pm: 0.500 0.500 0.000
Pm: 0.563 0.670 0.500
Pm: 0.670 0.170 0.107
Pm: 0.830 0.937 0.500
Pm: 0.937 0.437 0.107
Er: 0.111 0.389 0.500
Er: 0.250 0.250 0.000
Er: 0.389 0.889 0.279
Er: 0.611 0.111 0.721
Er: 0.750 0.750 0.000
Er: 0.889 0.611 0.500
Sc: 0.250 0.750 0.500
Sc: 0.750 0.250 0.500



Entry 8:
Compound: Pm5Er4Sc
Source: Alexandria
Functional: PBE-GGA
Structure: optimized geometry

**M_tot**: 0.000 Bohr magnetons per cell
**Formation enthalpy at 0 K**: 0.03 eV per atom
**ΔE to the lowest computed polymorph**: 0.00 kJ per mole of atoms

Lattice parameters (Å, degrees): 3.586 3.586 24.656 90.00 90.00 90.00
Sites, in units of the cell vectors:
Pm: 0.000 0.000 0.000
Pm: 0.000 0.000 0.204
Pm: 0.000 0.000 0.407
Pm: 0.000 0.000 0.593
Pm: 0.000 0.000 0.796
Er: 0.500 0.500 0.102
Er: 0.500 0.500 0.305
Er: 0.500 0.500 0.695
Er: 0.500 0.500 0.898
Sc: 0.500 0.500 0.500